1.
La9PrSc2: optimized geometry, PBE.

Cell and atoms, written as extended XYZ:
```
12
Lattice="5.1472 0.0000 0.0000 0.0000 5.1472 0.0000 0.0000 0.0000 15.5209" Properties=species:S:1:pos:R:3 pbc="T T T"
Sc 0.0000 0.0000 5.2202
Sc 0.0000 0.0000 10.3007
La 2.5736 2.5736 0.0000
La 2.5736 2.5736 5.2125
La 0.0000 2.5736 2.6796
La 2.5736 0.0000 7.7605
La 0.0000 2.5736 7.7605
La 2.5736 2.5736 10.3084
La 2.5736 0.0000 2.6796
La 0.0000 2.5736 12.8414
La 2.5736 0.0000 12.8414
Pr 0.0000 0.0000 0.0000
```

Results
ΔE_f: 0.3 eV per formula unit
symmetry: P4/mmm


2.
CrFe2Se: optimized geometry, PBE.

Cell and atoms, written as extended XYZ:
```
4
Lattice="-3.7993 -0.5370 -6.8930 -2.8689 -3.1237 -6.6519 -5.2208 -2.3823 -5.4134" Properties=species:S:1:pos:R:3 pbc="T T T"
Fe -5.9274 -3.0128 -9.4519
Fe -0.0171 -0.0087 -0.0272
Se -2.9722 -1.5107 -4.7396
Cr -8.9167 -4.5322 -14.2187
```

Results
raw formation energy: 0.407 eV per atom
relative energy among the computed polymorphs: 0.858 eV/f.u.
symmetry: R-3m


| no. | calculated density (g/cm3) | E (eV/atom) |
| --- | --- | --- |
| 1 | 5.98 | -5.122 |
| 2 | 7.91 | -7.102 |